# 1
# CoTe2S2 (PBE-GGA, relaxed)
data_CoTe2S2
_chemical_formula_sum 'Co2 Te4 S4'
_cell_length_a 6.257
_cell_length_b 6.257
_cell_length_c 5.541
_cell_angle_alpha 90.00
_cell_angle_beta 90.00
_cell_angle_gamma 90.00
_symmetry_space_group_name_H-M 'P 4/m b m'
_symmetry_Int_Tables_number 127
_symmetry_space_group_name_Hall '-P 4 2ab'
loop_
_atom_site_label
_atom_site_fract_x
_atom_site_fract_y
_atom_site_fract_z
Co1 0.000 0.000 0.000
Te1 0.222 0.278 0.500
S1 0.189 0.311 0.000
# final energy: -41.3 eV per cell
# crystal system: tetragonal
# ΔE_f (raw): 198 meV/atom
# V: 21.69 Å³ per atom



# 2
# Y8ZnC4 (PBE-GGA, relaxed)
data_Y8ZnC4
_chemical_formula_sum 'Y16 Zn2 C8'
_cell_length_a 17.595
_cell_length_b 3.651
_cell_length_c 12.211
_cell_angle_alpha 90.00
_cell_angle_beta 133.18
_cell_angle_gamma 90.00
_symmetry_space_group_name_H-M 'C 1 2/m 1'
_symmetry_Int_Tables_number 12
_symmetry_space_group_name_Hall '-C 2y'
loop_
_atom_site_label
_atom_site_fract_x
_atom_site_fract_y
_atom_site_fract_z
Y1 0.044 0.000 0.223
Y2 0.144 0.500 0.100
Y3 0.156 0.500 0.834
Y4 0.193 0.500 0.553
Zn1 0.000 0.000 0.500
C1 0.151 0.000 0.969
C2 0.172 0.500 0.330
# final energy: -185.6 eV per cell
# crystal system: monoclinic
# formation enthalpy at 0 K: -0.225 eV per atom
# V: 22.00 Å³ per atom



# 3
# CdHPt (PBE-GGA, relaxed)
data_CdHPt
_chemical_formula_sum 'Cd2 H2 Pt2'
_cell_length_a 3.852
_cell_length_b 4.244
_cell_length_c 5.547
_cell_angle_alpha 112.40
_cell_angle_beta 90.02
_cell_angle_gamma 90.00
_symmetry_space_group_name_H-M 'P -1'
_symmetry_Int_Tables_number 2
_symmetry_space_group_name_Hall '-P 1'
loop_
_atom_site_label
_atom_site_fract_x
_atom_site_fract_y
_atom_site_fract_z
Cd1 0.000 0.149 0.296
H1 0.498 0.734 0.999
Pt1 0.500 0.356 0.715
# final energy: -21.3 eV per cell
# crystal system: triclinic
# V: 13.97 Å³ per atom



# 4
# Na2ScB2 (PBE-GGA, relaxed)
data_Na2ScB2
_chemical_formula_sum 'Na4 Sc2 B4'
_cell_length_a 6.096
_cell_length_b 6.096
_cell_length_c 4.744
_cell_angle_alpha 90.00
_cell_angle_beta 90.00
_cell_angle_gamma 90.00
_symmetry_space_group_name_H-M 'P 4/m b m'
_symmetry_Int_Tables_number 127
_symmetry_space_group_name_Hall '-P 4 2ab'
loop_
_atom_site_label
_atom_site_fract_x
_atom_site_fract_y
_atom_site_fract_z
Na1 0.170 0.330 0.000
Sc1 0.000 0.000 0.500
B1 0.091 0.591 0.500
# final energy: -39.6 eV per cell
# crystal system: tetragonal
# formation enthalpy at 0 K: 0.507 eV per atom
# V: 17.63 Å³ per atom